The following is a DFT calculation (PBE) of an optimized crystal structure of Rb2US2O2.

Unit cell a=9.4478 b=9.4478 c=9.4478 alpha=153.17 beta=153.17 gamma=38.30
Fractional positions:
Rb 0.1574 0.1574 0.0000
Rb 0.8426 0.8426 0.0000
U 0.5000 0.5000 0.0000
S 0.3590 0.3590 0.0000
S 0.6410 0.6410 0.0000
O 0.0000 0.5000 0.5000
O 0.5000 0.0000 0.5000

Calculated values
The value obtained for the total DFT energy (no corrections) is -6.4128 eV per atom. The calculation puts the calculated volume at 24.5 Å³ per atom. The calculation puts the raw formation energy at -44.46 kcal/mol of atoms. The crystal system is tetragonal.